(1)
# ReMoSe2 (PBE, optimized geometry)
# energy relative to the elements, uncorrected = 0.36 eV per atom
# energy above the most stable polymorph in this dataset = 438.0 meV per atom
# M_tot = 0.0 μB/cell
# DOS(E_F) = 7.951 states/eV per cell
# E_tot = -7.201 eV per atom
# theoretical density = 11.422 Mg/m³
data_ReMoSe2
_chemical_formula_sum 'Re2 Mo2 Se4'
_space_group_name_H-M_alt 'C 1 2/m 1'
_space_group_IT_number 12
_cell_length_a 8.050
_cell_length_b 3.059
_cell_length_c 5.322
_cell_angle_alpha 90.00
_cell_angle_beta 102.46
_cell_angle_gamma 90.00
loop_
_space_group_symop_operation_xyz
'x,y,z'
'-x,-y,-z'
'-x,y,-z'
'x,-y,z'
'x+1/2,y+1/2,z'
'-x+1/2,-y+1/2,-z'
'-x+1/2,y+1/2,-z'
'x+1/2,-y+1/2,z'
loop_
_atom_site_label
_atom_site_type_symbol
_atom_site_fract_x
_atom_site_fract_y
_atom_site_fract_z
_atom_site_occupancy
Re1 Re 0.000 0.000 0.000 1
Mo1 Mo 0.000 0.500 0.500 1
Se1 Se 0.249 0.000 0.751 1

(2)
# TlNiPb2 (PBE, optimized geometry)
# energy above the most stable polymorph in this dataset = 0.0 meV per atom
# M_tot = 0.0 μB/cell
# DOS(E_F) = 3.011 states/eV per cell
# E_tot = -3.783 eV per atom
# theoretical density = 11.146 Mg/m³
data_TlNiPb2
_chemical_formula_sum 'Tl1 Ni1 Pb2'
_space_group_name_H-M_alt 'P 4/m m m'
_space_group_IT_number 123
_space_group_name_Hall '-P 4 2'
_cell_length_a 3.385
_cell_length_b 3.385
_cell_length_c 8.808
_cell_angle_alpha 90.00
_cell_angle_beta 90.00
_cell_angle_gamma 90.00
loop_
_atom_site_label
_atom_site_type_symbol
_atom_site_fract_x
_atom_site_fract_y
_atom_site_fract_z
_atom_site_occupancy
Tl1 Tl 0.000 0.000 0.000 1
Ni1 Ni 0.000 0.000 0.500 1
Pb1 Pb 0.500 0.500 0.314 1

(3)
# Tl2GaAgS4 (PBE, optimized geometry)
# energy relative to the elements, uncorrected = -0.33 eV per atom
# M_tot = 0.0 μB/cell
# DOS(E_F) = 1.708 states/eV per cell
# E_tot = -3.719 eV per atom
# theoretical density = 5.813 Mg/m³
data_Tl2GaAgS4
_chemical_formula_sum 'Tl4 Ga2 Ag2 S8'
_space_group_name_H-M_alt 'I -4'
_space_group_IT_number 82
_cell_length_a 6.780
_cell_length_b 6.780
_cell_length_c 8.880
_cell_angle_alpha 90.00
_cell_angle_beta 90.00
_cell_angle_gamma 90.00
loop_
_space_group_symop_operation_xyz
'x,y,z'
'y,-x,-z'
'-x,-y,z'
'-y,x,-z'
'x+1/2,y+1/2,z+1/2'
'y+1/2,-x+1/2,-z+1/2'
'-x+1/2,-y+1/2,z+1/2'
'-y+1/2,x+1/2,-z+1/2'
loop_
_atom_site_label
_atom_site_type_symbol
_atom_site_fract_x
_atom_site_fract_y
_atom_site_fract_z
_atom_site_occupancy
Tl1 Tl 0.000 0.000 0.000 1
Tl2 Tl 0.000 0.500 0.250 1
Ga1 Ga 0.000 0.000 0.500 1
Ag1 Ag 0.000 0.500 0.750 1
S1 S 0.199 0.800 0.642 1

(4)
# MnAgP2S (PBE, optimized geometry)
# energy relative to the elements, uncorrected = 0.45 eV per atom
# energy above the most stable polymorph in this dataset = 0.0 meV per atom
# M_tot = 1.4 μB/cell
# DOS(E_F) = 2.754 states/eV per cell
# E_tot = -4.948 eV per atom
# theoretical density = 4.586 Mg/m³
data_MnAgP2S
_chemical_formula_sum 'Mn1 Ag1 P2 S1'
_space_group_name_H-M_alt 'P 4/m m m'
_space_group_IT_number 123
_space_group_name_Hall '-P 4 2'
_cell_length_a 4.232
_cell_length_b 4.232
_cell_length_c 5.192
_cell_angle_alpha 90.00
_cell_angle_beta 90.00
_cell_angle_gamma 90.00
loop_
_atom_site_label
_atom_site_type_symbol
_atom_site_fract_x
_atom_site_fract_y
_atom_site_fract_z
_atom_site_occupancy
Mn1 Mn 0.000 0.000 0.000 1
Ag1 Ag 0.500 0.500 0.500 1
P1 P 0.000 0.500 0.000 1
S1 S 0.000 0.000 0.500 1

(5)
# Pr3NdRh (PBE, optimized geometry)
# energy above the most stable polymorph in this dataset = 92.2 meV per atom
# M_tot = 1.5 μB/cell
# DOS(E_F) = 8.300 states/eV per cell
# E_tot = -5.411 eV per atom
# theoretical density = 6.212 Mg/m³
data_Pr3NdRh
_chemical_formula_sum 'Pr3 Nd1 Rh1'
_space_group_name_H-M_alt 'P m -3 m'
_space_group_IT_number 221
_space_group_name_Hall '-P 4 2 3'
_cell_length_a 5.636
_cell_length_b 5.636
_cell_length_c 5.636
_cell_angle_alpha 90.00
_cell_angle_beta 90.00
_cell_angle_gamma 90.00
loop_
_atom_site_label
_atom_site_type_symbol
_atom_site_fract_x
_atom_site_fract_y
_atom_site_fract_z
_atom_site_occupancy
Pr1 Pr 0.000 0.000 0.500 1
Nd1 Nd 0.500 0.500 0.500 1
Rh1 Rh 0.000 0.000 0.000 1

(6)
# Cr2CoAs (PBE, optimized geometry)
# M_tot = 0.2 μB/cell
# DOS(E_F) = 4.606 states/eV per cell
# E_tot = -7.611 eV per atom
# theoretical density = 8.163 Mg/m³
data_Cr2CoAs
_chemical_formula_sum 'Cr2 Co1 As1'
_space_group_name_H-M_alt 'P m m m'
_space_group_IT_number 47
_cell_length_a 2.696
_cell_length_b 3.775
_cell_length_c 4.756
_cell_angle_alpha 90.00
_cell_angle_beta 90.00
_cell_angle_gamma 90.00
loop_
_space_group_symop_operation_xyz
'x,y,z'
'-x,-y,-z'
'-x,-y,z'
'x,y,-z'
'x,-y,-z'
'-x,y,z'
'-x,y,-z'
'x,-y,z'
loop_
_atom_site_label
_atom_site_type_symbol
_atom_site_fract_x
_atom_site_fract_y
_atom_site_fract_z
_atom_site_occupancy
Cr1 Cr 0.000 0.000 0.234 1
Co1 Co 0.500 0.500 0.000 1
As1 As 0.500 0.500 0.500 1

(7)
# Pm2NdUAs4 (PBE, optimized geometry)
# M_tot = 2.3 μB/cell
# DOS(E_F) = 8.525 states/eV per cell
# E_tot = -6.837 eV per atom
# theoretical density = 7.687 Mg/m³
data_Pm2NdUAs4
_chemical_formula_sum 'Pm2 Nd1 U1 As4'
_space_group_name_H-M_alt 'P 1 2/m 1'
_space_group_IT_number 10
_cell_length_a 7.284
_cell_length_b 4.189
_cell_length_c 7.284
_cell_angle_alpha 90.00
_cell_angle_beta 109.12
_cell_angle_gamma 90.00
loop_
_space_group_symop_operation_xyz
'x,y,z'
'-x,-y,-z'
'-x,y,-z'
'x,-y,z'
loop_
_atom_site_label
_atom_site_type_symbol
_atom_site_fract_x
_atom_site_fract_y
_atom_site_fract_z
_atom_site_occupancy
Pm1 Pm 0.000 0.000 0.000 1
Pm2 Pm 0.500 0.500 0.000 1
Nd1 Nd 0.000 0.500 0.500 1
U1 U 0.500 0.000 0.500 1
As1 As 0.258 0.000 0.745 1
As2 As 0.259 0.500 0.257 1

(8)
# PuPaPdPt (PBE, optimized geometry)
# M_tot = 21.1 μB/cell
# DOS(E_F) = 14.985 states/eV per cell
# E_tot = -9.566 eV per atom
# theoretical density = 16.791 Mg/m³
data_PuPaPdPt
_chemical_formula_sum 'Pu4 Pa4 Pd4 Pt4'
_space_group_name_H-M_alt 'F -4 3 m'
_space_group_IT_number 216
_space_group_name_Hall 'F -4 2 3'
_cell_length_a 6.747
_cell_length_b 6.747
_cell_length_c 6.747
_cell_angle_alpha 90.00
_cell_angle_beta 90.00
_cell_angle_gamma 90.00
loop_
_atom_site_label
_atom_site_type_symbol
_atom_site_fract_x
_atom_site_fract_y
_atom_site_fract_z
_atom_site_occupancy
Pu1 Pu 0.000 0.000 0.000 1
Pa1 Pa 0.250 0.250 0.250 1
Pd1 Pd 0.250 0.250 0.750 1
Pt1 Pt 0.000 0.000 0.500 1

(9)
# GaSi3Cl (PBE, optimized geometry)
# energy relative to the elements, uncorrected = 1.13 eV per atom
# energy above the most stable polymorph in this dataset = 160.6 meV per atom
# M_tot = 0.0 μB/cell
# DOS(E_F) = 1.918 states/eV per cell
# E_tot = -3.100 eV per atom
# theoretical density = 2.846 Mg/m³
data_GaSi3Cl
_chemical_formula_sum 'Ga1 Si3 Cl1'
_space_group_name_H-M_alt 'P m -3 m'
_space_group_IT_number 221
_space_group_name_Hall '-P 4 2 3'
_cell_length_a 4.799
_cell_length_b 4.799
_cell_length_c 4.799
_cell_angle_alpha 90.00
_cell_angle_beta 90.00
_cell_angle_gamma 90.00
loop_
_atom_site_label
_atom_site_type_symbol
_atom_site_fract_x
_atom_site_fract_y
_atom_site_fract_z
_atom_site_occupancy
Ga1 Ga 0.000 0.000 0.000 1
Si1 Si 0.000 0.500 0.500 1
Cl1 Cl 0.500 0.500 0.500 1

(10)
# CaLaY2 (PBE, optimized geometry)
# energy above the most stable polymorph in this dataset = 7.8 meV per atom
# M_tot = 0.0 μB/cell
# DOS(E_F) = 23.516 states/eV per cell
# E_tot = -4.900 eV per atom
# theoretical density = 4.170 Mg/m³
data_CaLaY2
_chemical_formula_sum 'Ca3 La3 Y6'
_space_group_name_H-M_alt 'R -3 m'
_space_group_IT_number 166
_space_group_name_Hall '-R 3 2"'
_cell_length_a 3.6807
_cell_length_b 3.6807
_cell_length_c 36.3266
_cell_angle_alpha 90.00
_cell_angle_beta 90.00
_cell_angle_gamma 120.00
loop_
_atom_site_label
_atom_site_type_symbol
_atom_site_fract_x
_atom_site_fract_y
_atom_site_fract_z
_atom_site_occupancy
Ca1 Ca 0.0000 0.0000 0.0000 1
La1 La 0.0000 0.0000 0.5000 1
Y1 Y 0.0000 0.0000 0.2470 1

(11)
# Zn2GaAs (PBE, optimized geometry)
# energy above the most stable polymorph in this dataset = 27.2 meV per atom
# M_tot = 0.0 μB/cell
# DOS(E_F) = 5.357 states/eV per cell
# E_tot = -2.381 eV per atom
# theoretical density = 5.025 Mg/m³
data_Zn2GaAs
_chemical_formula_sum 'Zn8 Ga4 As4'
_space_group_name_H-M_alt 'I -4 2 d'
_space_group_IT_number 122
_space_group_name_Hall 'I -4 2bw'
_cell_length_a 6.406
_cell_length_b 6.406
_cell_length_c 8.873
_cell_angle_alpha 90.00
_cell_angle_beta 90.00
_cell_angle_gamma 90.00
loop_
_atom_site_label
_atom_site_type_symbol
_atom_site_fract_x
_atom_site_fract_y
_atom_site_fract_z
_atom_site_occupancy
Zn1 Zn 0.227 0.250 0.125 1
Ga1 Ga 0.000 0.000 0.500 1
As1 As 0.000 0.000 0.000 1

(12)
# HfGa3Au (PBE, optimized geometry)
# energy above the most stable polymorph in this dataset = 674.7 meV per atom
# M_tot = 0.0 μB/cell
# DOS(E_F) = 2.895 states/eV per cell
# E_tot = -3.928 eV per atom
# theoretical density = 8.379 Mg/m³
data_HfGa3Au
_chemical_formula_sum 'Hf1 Ga3 Au1'
_space_group_name_H-M_alt 'P m -3 m'
_space_group_IT_number 221
_space_group_name_Hall '-P 4 2 3'
_cell_length_a 4.875
_cell_length_b 4.875
_cell_length_c 4.875
_cell_angle_alpha 90.00
_cell_angle_beta 90.00
_cell_angle_gamma 90.00
loop_
_atom_site_label
_atom_site_type_symbol
_atom_site_fract_x
_atom_site_fract_y
_atom_site_fract_z
_atom_site_occupancy
Hf1 Hf 0.000 0.000 0.000 1
Ga1 Ga 0.000 0.500 0.500 1
Au1 Au 0.500 0.500 0.500 1